[1]
DFT (PBE) results for an optimized crystal structure of RbGeCl.

The space group is Cmce (No. 64) and the conventional cell measures 9.485, 8.356 and 11.757 Å, with angles of 90.00, 90.00 and 90.00 degrees. The distinct sites, in fractional coordinates, are Rb at (0.250, 0.033, 0.250), Ge at (0.000, 0.132, 0.540) and Cl at (0.000, 0.237, 0.853).

=====

[2]
DFT (PBE) results for an optimized crystal structure of Dy3GaCo3.

The space group is Cmcm (No. 63) and the conventional cell measures 4.066, 9.988 and 12.869 Å, with angles of 90.00, 90.00 and 90.00 degrees. The distinct sites, in fractional coordinates, are Dy at (0.000, 0.006, 0.250), Dy at (0.000, 0.294, 0.104), Ga at (0.000, 0.000, 0.000), Co at (0.000, 0.294, 0.750) and Co at (0.000, 0.417, 0.594).

As for the formation energy: -0.3560 eV per atom.

=====

[3]
DFT (PBE) results for an optimized crystal structure of Sm6Ga3Co.

The space group is P2_1/c (No. 14) and the conventional cell measures 5.170, 8.877 and 12.380 Å, with angles of 90.00, 114.66 and 90.00 degrees. The distinct sites, in fractional coordinates, are Sm at (0.069, 0.181, 0.070), Sm at (0.243, 0.503, 0.242), Sm at (0.419, 0.157, 0.420), Ga at (0.247, 0.663, 0.747), Ga at (0.500, 0.000, 0.000) and Co at (0.000, 0.000, 0.500).

As for the formation energy: -0.3055 eV per atom.

=====

Ordered V results: 38.8, 18.7, 25.8; unit Å³ per atom.
Ordered total energy results: -3.19, -5.81, -4.76; unit eV per atom.